Entry 1:
Entry from Alexandria: a relaxed structure of BaAs3P (PBE).

```
data_BaAs3P
_symmetry_space_group_name_H-M 'P 1'
_symmetry_Int_Tables_number 1
_cell_length_a 6.318
_cell_length_b 7.348
_cell_length_c 7.627
_cell_angle_alpha 100.67
_cell_angle_beta 113.60
_cell_angle_gamma 107.51
loop_
_symmetry_equiv_pos_as_xyz
'x,y,z'
loop_
_atom_site_label
_atom_site_fract_x
_atom_site_fract_y
_atom_site_fract_z
Ba1 0.000 0.000 0.000
Ba2 0.449 0.406 0.743
As1 0.014 0.573 0.733
As2 0.328 0.484 0.130
As3 0.375 0.891 0.813
As4 0.470 0.853 0.273
As5 0.709 0.420 0.341
As6 0.935 0.979 0.452
P1 0.329 0.714 0.495
P2 0.945 0.685 0.278
```

Values from the calculation:
- Excess energy over the best structure of this formula in the dataset: 0.00 eV per formula unit


Entry 2:
Entry from Alexandria: a relaxed structure of BaAs2P (PBE).

```
data_BaAs2P
_symmetry_space_group_name_H-M 'P 1'
_symmetry_Int_Tables_number 1
_cell_length_a 5.038
_cell_length_b 4.313
_cell_length_c 5.274
_cell_angle_alpha 90.00
_cell_angle_beta 98.09
_cell_angle_gamma 90.00
loop_
_symmetry_equiv_pos_as_xyz
'x,y,z'
loop_
_atom_site_label
_atom_site_fract_x
_atom_site_fract_y
_atom_site_fract_z
Ba1 0.000 0.000 0.000
As1 0.478 0.000 0.528
As2 0.583 0.500 0.238
P1 0.415 0.500 0.806
```


Entry 3:
Entry from Alexandria: a relaxed structure of BaAs3P (PBE).

```
data_BaAs3P
_symmetry_space_group_name_H-M 'P 1'
_symmetry_Int_Tables_number 1
_cell_length_a 5.767
_cell_length_b 5.767
_cell_length_c 5.767
_cell_angle_alpha 90.00
_cell_angle_beta 90.00
_cell_angle_gamma 90.00
loop_
_symmetry_equiv_pos_as_xyz
'x,y,z'
loop_
_atom_site_label
_atom_site_fract_x
_atom_site_fract_y
_atom_site_fract_z
Ba1 0.000 0.000 0.000
As1 0.000 0.000 0.500
As2 0.000 0.500 0.000
As3 0.500 0.000 0.000
P1 0.500 0.500 0.500
```

Values from the calculation:
- Excess energy over the best structure of this formula in the dataset: 10.30 eV per formula unit


Entry 4:
Entry from Alexandria: a relaxed structure of BaAsP2 (PBE).

```
data_BaAsP2
_symmetry_space_group_name_H-M 'P 1'
_symmetry_Int_Tables_number 1
_cell_length_a 4.556
_cell_length_b 4.635
_cell_length_c 5.134
_cell_angle_alpha 90.00
_cell_angle_beta 90.00
_cell_angle_gamma 90.00
loop_
_symmetry_equiv_pos_as_xyz
'x,y,z'
loop_
_atom_site_label
_atom_site_fract_x
_atom_site_fract_y
_atom_site_fract_z
Ba1 0.000 0.000 0.000
As1 0.500 0.000 0.500
P1 0.500 0.500 0.282
P2 0.500 0.500 0.718
```


Entry 5:
Entry from Alexandria: a relaxed structure of BaAsP (PBE).

```
data_BaAsP
_symmetry_space_group_name_H-M 'P 1'
_symmetry_Int_Tables_number 1
_cell_length_a 5.120
_cell_length_b 5.466
_cell_length_c 11.114
_cell_angle_alpha 90.00
_cell_angle_beta 90.00
_cell_angle_gamma 90.00
loop_
_symmetry_equiv_pos_as_xyz
'x,y,z'
loop_
_atom_site_label
_atom_site_fract_x
_atom_site_fract_y
_atom_site_fract_z
Ba1 0.000 0.000 0.000
Ba2 0.000 0.500 0.500
Ba3 0.500 0.000 0.500
Ba4 0.500 0.500 0.000
As1 0.000 0.000 0.281
As2 0.000 0.500 0.781
As3 0.500 0.000 0.781
As4 0.500 0.500 0.281
P1 0.000 0.000 0.718
P2 0.000 0.500 0.218
P3 0.500 0.000 0.218
P4 0.500 0.500 0.718
```

Values from the calculation:
- Excess energy over the best structure of this formula in the dataset: 0.81 eV per formula unit


Entry 6:
Entry from Alexandria: a relaxed structure of Ba4AsP (PBE).

```
data_Ba4AsP
_symmetry_space_group_name_H-M 'P 1'
_symmetry_Int_Tables_number 1
_cell_length_a 5.525
_cell_length_b 5.525
_cell_length_c 7.843
_cell_angle_alpha 90.00
_cell_angle_beta 90.00
_cell_angle_gamma 90.00
loop_
_symmetry_equiv_pos_as_xyz
'x,y,z'
loop_
_atom_site_label
_atom_site_fract_x
_atom_site_fract_y
_atom_site_fract_z
Ba1 0.000 0.500 0.244
Ba2 0.000 0.500 0.756
Ba3 0.500 0.000 0.244
Ba4 0.500 0.000 0.756
As1 0.000 0.000 0.500
P1 0.500 0.500 0.000
```

Values from the calculation:
- Excess energy over the best structure of this formula in the dataset: 0.00 eV per formula unit


Entry 7:
Entry from Alexandria: a relaxed structure of BaAs2P (PBE).

```
data_BaAs2P
_symmetry_space_group_name_H-M 'P 1'
_symmetry_Int_Tables_number 1
_cell_length_a 3.555
_cell_length_b 5.771
_cell_length_c 9.597
_cell_angle_alpha 90.00
_cell_angle_beta 90.00
_cell_angle_gamma 90.00
loop_
_symmetry_equiv_pos_as_xyz
'x,y,z'
loop_
_atom_site_label
_atom_site_fract_x
_atom_site_fract_y
_atom_site_fract_z
Ba1 0.000 0.000 0.000
Ba2 0.500 0.500 0.500
As1 0.000 0.500 0.187
As2 0.000 0.500 0.813
As3 0.500 0.000 0.313
As4 0.500 0.000 0.687
P1 0.000 0.000 0.500
P2 0.500 0.500 0.000
```


Entry 8:
Entry from Alexandria: a relaxed structure of BaAs2P (PBE).

```
data_BaAs2P
_symmetry_space_group_name_H-M 'P 1'
_symmetry_Int_Tables_number 1
_cell_length_a 7.692
_cell_length_b 7.692
_cell_length_c 7.474
_cell_angle_alpha 90.00
_cell_angle_beta 90.00
_cell_angle_gamma 90.00
loop_
_symmetry_equiv_pos_as_xyz
'x,y,z'
loop_
_atom_site_label
_atom_site_fract_x
_atom_site_fract_y
_atom_site_fract_z
Ba1 0.000 0.000 0.000
Ba2 0.000 0.500 0.250
Ba3 0.500 0.000 0.750
Ba4 0.500 0.500 0.500
As1 0.144 0.250 0.625
As2 0.250 0.644 0.875
As3 0.250 0.856 0.375
As4 0.356 0.250 0.125
As5 0.644 0.750 0.125
As6 0.750 0.144 0.375
As7 0.750 0.356 0.875
As8 0.856 0.750 0.625
P1 0.000 0.000 0.500
P2 0.000 0.500 0.750
P3 0.500 0.000 0.250
P4 0.500 0.500 0.000
```


Entry 9:
Entry from Alexandria: a relaxed structure of BaAs2P (PBE).

```
data_BaAs2P
_symmetry_space_group_name_H-M 'P 1'
_symmetry_Int_Tables_number 1
_cell_length_a 4.665
_cell_length_b 4.665
_cell_length_c 16.373
_cell_angle_alpha 90.00
_cell_angle_beta 90.00
_cell_angle_gamma 120.00
loop_
_symmetry_equiv_pos_as_xyz
'x,y,z'
loop_
_atom_site_label
_atom_site_fract_x
_atom_site_fract_y
_atom_site_fract_z
Ba1 0.000 0.000 0.000
Ba2 0.333 0.667 0.667
Ba3 0.667 0.333 0.333
As1 0.000 0.000 0.507
As2 0.000 0.000 0.802
As3 0.333 0.667 0.174
As4 0.333 0.667 0.468
As5 0.667 0.333 0.135
As6 0.667 0.333 0.840
P1 0.000 0.000 0.199
P2 0.333 0.667 0.866
P3 0.667 0.333 0.532
```


Entry 10:
Entry from Alexandria: a relaxed structure of BaAsP2 (PBE).

```
data_BaAsP2
_symmetry_space_group_name_H-M 'P 1'
_symmetry_Int_Tables_number 1
_cell_length_a 4.835
_cell_length_b 4.835
_cell_length_c 8.064
_cell_angle_alpha 90.00
_cell_angle_beta 90.00
_cell_angle_gamma 90.00
loop_
_symmetry_equiv_pos_as_xyz
'x,y,z'
loop_
_atom_site_label
_atom_site_fract_x
_atom_site_fract_y
_atom_site_fract_z
Ba1 0.000 0.000 0.000
Ba2 0.500 0.500 0.500
As1 0.000 0.000 0.500
As2 0.500 0.500 0.000
P1 0.000 0.500 0.250
P2 0.000 0.500 0.750
P3 0.500 0.000 0.250
P4 0.500 0.000 0.750
```


Entry 11:
Entry from Alexandria: a relaxed structure of BaAs2P (PBE).

```
data_BaAs2P
_symmetry_space_group_name_H-M 'P 1'
_symmetry_Int_Tables_number 1
_cell_length_a 3.819
_cell_length_b 4.148
_cell_length_c 6.521
_cell_angle_alpha 90.00
_cell_angle_beta 90.00
_cell_angle_gamma 90.00
loop_
_symmetry_equiv_pos_as_xyz
'x,y,z'
loop_
_atom_site_label
_atom_site_fract_x
_atom_site_fract_y
_atom_site_fract_z
Ba1 0.000 0.000 0.000
As1 0.000 0.000 0.497
As2 0.500 0.500 0.403
P1 0.500 0.500 0.756
```


Entry 12:
Entry from Alexandria: a relaxed structure of Ba2AsPPb (PBE).

```
data_Ba2AsPPb
_symmetry_space_group_name_H-M 'P 1'
_symmetry_Int_Tables_number 1
_cell_length_a 9.204
_cell_length_b 4.503
_cell_length_c 9.260
_cell_angle_alpha 90.00
_cell_angle_beta 100.48
_cell_angle_gamma 90.00
loop_
_symmetry_equiv_pos_as_xyz
'x,y,z'
loop_
_atom_site_label
_atom_site_fract_x
_atom_site_fract_y
_atom_site_fract_z
Ba1 0.152 0.250 0.389
Ba2 0.297 0.250 0.903
Ba3 0.703 0.750 0.097
Ba4 0.848 0.750 0.611
As1 0.364 0.750 0.178
As2 0.636 0.250 0.822
P1 0.193 0.750 0.653
P2 0.807 0.250 0.347
Pb1 0.482 0.750 0.640
Pb2 0.518 0.250 0.360
```


Values of energy of formation, in order: -0.362, -0.453, 1.698, -0.343, -0.419, -0.826, -0.259, -0.376, -0.350, 0.136, -0.168, -0.790, all in eV/atom.